Record 1
Computed, not measured: crystalline Tb4Pm2NdSc at its relaxed geometry at the PBE level of DFT.

Values from the calculation:
SG = P2/m
E_form = 0.03 eV/atom
Spin magnetization = 0.00 μB/f.u.

abc: 5.0314 5.0347 10.0857
angles: 90.00 90.01 90.00
Fractional positions:
Tb (0.0019, 0.0000, 0.2569)
Tb (0.4980, 0.5000, 0.7431)
Tb (0.5020, 0.5000, 0.2569)
Tb (0.9981, 0.0000, 0.7431)
Pm (0.0000, 0.5000, 0.0000)
Pm (0.5000, 0.0000, 0.5000)
Nd (0.5000, 0.0000, 0.0000)
Sc (0.0000, 0.5000, 0.5000)

Record 2
Computed, not measured: crystalline Tb5PmNdSc2 at its relaxed geometry at the PBE level of DFT.

Values from the calculation:
SG = Cmc2_1
E_form = 0.17 eV/atom
Spin magnetization = 0.00 μB/f.u.

abc: 11.1496 11.1496 9.4007
angles: 90.00 90.00 150.75
Fractional positions:
Tb (0.0073, 0.9927, 0.5000)
Tb (0.2657, 0.7343, 0.8125)
Tb (0.3073, 0.6927, 0.1989)
Tb (0.3908, 0.6092, 0.5214)
Tb (0.4683, 0.5317, 0.2266)
Tb (0.5317, 0.4683, 0.7266)
Tb (0.6092, 0.3908, 0.0214)
Tb (0.6927, 0.3073, 0.6989)
Tb (0.7343, 0.2657, 0.3125)
Tb (0.9927, 0.0073, 0.0000)
Pm (0.1872, 0.8128, 0.4997)
Pm (0.8128, 0.1872, 0.9997)
Nd (0.4032, 0.5968, 0.8936)
Nd (0.5968, 0.4032, 0.3936)
Sc (0.1132, 0.8868, 0.8052)
Sc (0.1421, 0.8579, 0.1744)
Sc (0.8579, 0.1421, 0.6744)
Sc (0.8868, 0.1132, 0.3052)

Record 3
Computed, not measured: crystalline Pm2NdScTe4 at its relaxed geometry at the PBE level of DFT.

Values from the calculation:
SG = P2/m
Uncorrected formation energy = -1.31 eV per atom
Spin magnetization = 0.00 μB/f.u.

abc: 7.6552 4.3614 7.6728
angles: 90.00 108.93 90.00
Fractional positions:
Pm (0.0000, 0.0000, 0.0000)
Pm (0.0000, 0.5000, 0.5000)
Nd (0.5000, 0.0000, 0.5000)
Sc (0.5000, 0.5000, 0.0000)
Te (0.2565, 0.5000, 0.2402)
Te (0.2653, 0.0000, 0.7669)
Te (0.7347, 0.0000, 0.2331)
Te (0.7435, 0.5000, 0.7598)

Record 4
Computed, not measured: crystalline Pm2Nd3ScTe6 at its relaxed geometry at the PBE level of DFT.

Values from the calculation:
SG = C2/m
Uncorrected formation energy = -1.36 eV per atom
Spin magnetization = 0.00 μB/f.u.

abc: 9.9184 9.9184 8.9200
angles: 102.77 102.77 25.69
Fractional positions:
Pm (0.1686, 0.1686, 0.3345)
Pm (0.8314, 0.8314, 0.6655)
Nd (0.1745, 0.1745, 0.8373)
Nd (0.5000, 0.5000, 0.5000)
Nd (0.8255, 0.8255, 0.1627)
Sc (0.5000, 0.5000, 0.0000)
Te (0.0020, 0.0020, 0.7681)
Te (0.3341, 0.3341, 0.4181)
Te (0.3438, 0.3438, 0.9206)
Te (0.6562, 0.6562, 0.0794)
Te (0.6659, 0.6659, 0.5819)
Te (0.9980, 0.9980, 0.2319)